A plane-wave DFT calculation with PBE was carried out for MnTl2Ru after structural relaxation.

The space group is F-43m (No. 216) and the conventional cell measures 6.786, 6.786 and 6.786 Å, with angles of 90.00, 90.00 and 90.00 degrees. The asymmetric unit holds Mn at (0.000, 0.000, 0.000), Tl at (0.000, 0.000, 0.500), Tl at (0.250, 0.250, 0.750) and Ru at (0.250, 0.250, 0.250).

The formation energy is 0.748 eV/atom. The energy above the most stable polymorph in this dataset is 0.376 eV/atom. The calculation puts the energy at -20.187 eV per formula unit.